Ce3PaSe6: relaxed, PBE.

abc: 9.0863 9.0863 7.2333
angles: 90.00 90.00 101.93
Last column: nearest neighbours and their distance in Å.
Atoms (fractional coordinates):
Ce  0.0974  0.9026  0.5000  7 Se 2.98-3.07
Ce  0.2128  0.4166  0.6085  7 Se 2.92-3.21
Ce  0.4166  0.2128  0.1085  7 Se 2.92-3.21
Ce  0.5834  0.7872  0.6085  7 Se 2.92-3.21
Ce  0.7872  0.5834  0.1085  7 Se 2.92-3.21
Ce  0.9026  0.0974  0.0000  7 Se 2.98-3.07
Pa  0.3411  0.6589  0.1092  5 Se 2.78-2.91
Pa  0.6589  0.3411  0.6092  5 Se 2.78-2.91
Se  0.0743  0.5959  0.3126  1 Pa 2.79, 3 Ce 2.98-3.11
Se  0.1313  0.1950  0.3012  4 Ce 2.92-3.01
Se  0.1950  0.1313  0.8012  4 Ce 2.92-3.01
Se  0.2646  0.7354  0.7557  1 Pa 2.78, 3 Ce 3.00-3.03
Se  0.4041  0.9257  0.3126  1 Pa 2.79, 3 Ce 2.98-3.11
Se  0.4940  0.5060  0.3670  2 Pa 2.85-2.91, 2 Ce 3.06
Se  0.5060  0.4940  0.8670  2 Pa 2.85-2.91, 2 Ce 3.06
Se  0.5959  0.0743  0.8126  1 Pa 2.79, 3 Ce 2.98-3.11
Se  0.7354  0.2646  0.2557  1 Pa 2.78, 3 Ce 3.00-3.03
Se  0.8050  0.8687  0.3012  4 Ce 2.92-3.01
Se  0.8687  0.8050  0.8012  4 Ce 2.92-3.01
Se  0.9257  0.4041  0.8126  1 Pa 2.79, 3 Ce 2.98-3.11

Summary:
Its symmetry is Cmc2_1. The calculation puts the energy above the most stable polymorph in this dataset at 0.0469 eV/atom. The formation energy without anion corrections comes out at -1.59 eV/atom.